# 1
First-principles (meta-GGA SCAN) data for a crystal of KAg2Br relaxed with PBEsol, as listed in the Alexandria database. Values from VASP.

Output
Offset from the most stable computed form, meV/atom: 0
Volume, Å³/atom: 26.16
Formation energy from raw total energies, eV per atom: -0.38

Geometry as Quantum ESPRESSO input:
```
&SYSTEM
  ibrav = 0, nat = 4, ntyp = 3
/
ATOMIC_SPECIES
Ag 107.87 Ag.upf
Br 79.90 Br.upf
K 39.10 K.upf
CELL_PARAMETERS angstrom
-3.601 -0.189 0.511
-0.438 -2.248 -3.920
2.742 -4.278 4.756
ATOMIC_POSITIONS angstrom
Ag -1.624 -4.226 -0.031
Ag 0.327 -2.490 1.379
Br 0.000 0.000 0.000
K -2.020 -1.219 -1.704
```

# 2
First-principles (meta-GGA SCAN) data for a crystal of KAg2Br relaxed with PBEsol, as listed in the Alexandria database. Values from VASP.

Output
Offset from the most stable computed form, meV/atom: 22
Volume, Å³/atom: 27.55
Formation energy from raw total energies, eV per atom: -0.35

Geometry as Quantum ESPRESSO input:
```
&SYSTEM
  ibrav = 0, nat = 4, ntyp = 3
/
ATOMIC_SPECIES
Ag 107.87 Ag.upf
K 39.10 K.upf
Br 79.90 Br.upf
CELL_PARAMETERS angstrom
-0.321 -3.392 -2.547
3.491 -2.162 -1.113
0.280 -5.999 4.403
ATOMIC_POSITIONS angstrom
Ag 0.335 -5.707 4.006
Ag 2.567 -8.774 0.705
K 0.860 -2.905 0.208
Br 1.694 -5.944 0.599
```

# 3
First-principles (meta-GGA SCAN) data for a crystal of KAgBr3 relaxed with PBEsol, as listed in the Alexandria database. Values from VASP.

Output
Volume, Å³/atom: 28.89
Formation energy from raw total energies, eV per atom: -0.97

Geometry as Quantum ESPRESSO input:
```
&SYSTEM
  ibrav = 0, nat = 10, ntyp = 3
/
ATOMIC_SPECIES
K 39.10 K.upf
Br 79.90 Br.upf
Ag 107.87 Ag.upf
CELL_PARAMETERS angstrom
-3.565 3.630 5.313
-7.309 0.698 -0.469
-4.233 -3.798 4.667
ATOMIC_POSITIONS angstrom
K -3.877 0.136 2.441
K -11.430 0.401 7.196
Br -9.472 -1.646 4.792
Br -9.489 2.149 4.554
Br -5.783 -1.612 5.060
Br -5.800 2.181 4.822
Br -7.547 0.102 2.163
Br -7.724 0.433 7.453
Ag -7.637 0.268 4.808
Ag -0.083 0.003 0.053
```

# 4
First-principles (meta-GGA SCAN) data for a crystal of K2AgMoBr6 relaxed with PBEsol, as listed in the Alexandria database. Values from VASP.

Output
Volume, Å³/atom: 29.93
Formation energy from raw total energies, eV per atom: -1.11

Geometry as Quantum ESPRESSO input:
```
&SYSTEM
  ibrav = 0, nat = 10, ntyp = 4
/
ATOMIC_SPECIES
Br 79.90 Br.upf
K 39.10 K.upf
Ag 107.87 Ag.upf
Mo 95.94 Mo.upf
CELL_PARAMETERS angstrom
7.508 0.000 0.000
3.754 6.502 0.000
3.754 2.167 6.130
ATOMIC_POSITIONS angstrom
Br 7.508 6.572 4.647
Br 9.445 3.216 4.647
Br 7.508 2.098 1.484
Br 5.571 3.216 4.647
Br 5.571 5.453 1.484
Br 9.445 5.453 1.484
K 11.262 6.502 4.598
K 3.754 2.167 1.533
Ag 7.508 4.335 3.065
Mo 0.000 0.000 0.000
```

# 5
First-principles (meta-GGA SCAN) data for a crystal of KAgBrN2 relaxed with PBEsol, as listed in the Alexandria database. Values from VASP.

Output
Volume, Å³/atom: 19.03
Formation energy from raw total energies, eV per atom: 1.74

Geometry as Quantum ESPRESSO input:
```
&SYSTEM
  ibrav = 0, nat = 5, ntyp = 4
/
ATOMIC_SPECIES
Br 79.90 Br.upf
N 14.01 N.upf
Ag 107.87 Ag.upf
K 39.10 K.upf
CELL_PARAMETERS angstrom
-2.470 2.126 2.969
1.496 -2.681 3.164
3.699 3.087 0.867
ATOMIC_POSITIONS angstrom
Br 0.000 0.000 0.000
N 0.748 -1.340 1.582
N -1.235 1.063 1.485
Ag 1.849 1.544 0.433
K 1.362 1.266 3.500
```

# 6
First-principles (meta-GGA SCAN) data for a crystal of K2NdAgBr6 relaxed with PBEsol, as listed in the Alexandria database. Values from VASP.

Output
Volume, Å³/atom: 34.94
Formation energy from raw total energies, eV per atom: -1.64

Geometry as Quantum ESPRESSO input:
```
&SYSTEM
  ibrav = 0, nat = 10, ntyp = 4
/
ATOMIC_SPECIES
Br 79.90 Br.upf
K 39.10 K.upf
Ag 107.87 Ag.upf
Nd 144.24 Nd.upf
CELL_PARAMETERS angstrom
7.906 0.000 0.000
3.953 6.847 0.000
3.953 2.282 6.455
ATOMIC_POSITIONS angstrom
Br 5.903 5.721 1.592
Br 9.909 5.721 1.592
Br 5.903 3.408 4.863
Br 9.909 3.408 4.863
Br 7.906 2.252 1.592
Br 7.906 6.877 4.863
K 3.953 2.282 1.614
K 11.859 6.847 4.841
Ag 0.000 0.000 0.000
Nd 7.906 4.564 3.228
```

# 7
First-principles (meta-GGA SCAN) data for a crystal of K2AgSbBr6 relaxed with PBEsol, as listed in the Alexandria database. Values from VASP.

Output
Volume, Å³/atom: 33.20
Formation energy from raw total energies, eV per atom: -1.08

Geometry as Quantum ESPRESSO input:
```
&SYSTEM
  ibrav = 0, nat = 10, ntyp = 4
/
ATOMIC_SPECIES
K 39.10 K.upf
Br 79.90 Br.upf
Sb 121.76 Sb.upf
Ag 107.87 Ag.upf
CELL_PARAMETERS angstrom
7.773 0.000 0.000
3.886 6.731 0.000
3.886 2.244 6.346
ATOMIC_POSITIONS angstrom
K 11.659 6.731 4.760
K 3.886 2.244 1.587
Br 9.700 3.375 4.747
Br 9.700 5.600 1.600
Br 5.845 5.600 1.600
Br 7.773 2.262 1.600
Br 5.845 3.375 4.747
Br 7.773 6.713 4.747
Sb 0.000 0.000 0.000
Ag 7.773 4.488 3.173
```

# 8
First-principles (meta-GGA SCAN) data for a crystal of LiAgBr relaxed with PBEsol, as listed in the Alexandria database. Values from VASP.

Output
Volume, Å³/atom: 23.85
Formation energy from raw total energies, eV per atom: -0.26

Geometry as Quantum ESPRESSO input:
```
&SYSTEM
  ibrav = 0, nat = 3, ntyp = 3
/
ATOMIC_SPECIES
Li 6.94 Li.upf
Ag 107.87 Ag.upf
Br 79.90 Br.upf
CELL_PARAMETERS angstrom
-1.547 -1.722 4.044
-3.739 -2.780 0.071
0.488 -4.538 0.939
ATOMIC_POSITIONS angstrom
Li 0.000 0.000 0.000
Ag -2.399 -4.520 2.527
Br -1.199 -2.260 1.263
```

# 9
First-principles (meta-GGA SCAN) data for a crystal of Li2AgBr relaxed with PBEsol, as listed in the Alexandria database. Values from VASP.

Output
Offset from the most stable computed form, meV/atom: 0
Volume, Å³/atom: 19.33
Formation energy from raw total energies, eV per atom: -0.47

Geometry as Quantum ESPRESSO input:
```
&SYSTEM
  ibrav = 0, nat = 4, ntyp = 3
/
ATOMIC_SPECIES
Br 79.90 Br.upf
Li 6.94 Li.upf
Ag 107.87 Ag.upf
CELL_PARAMETERS angstrom
-3.891 -0.245 -2.769
-1.975 -4.244 -0.979
-4.225 -1.169 1.911
ATOMIC_POSITIONS angstrom
Br 0.000 0.000 0.000
Li -2.523 -1.415 -0.459
Li -7.568 -4.244 -1.378
Ag -5.045 -2.829 -0.919
```

# 10
First-principles (meta-GGA SCAN) data for a crystal of Li2AgBr relaxed with PBEsol, as listed in the Alexandria database. Values from VASP.

Output
Offset from the most stable computed form, meV/atom: 278
Volume, Å³/atom: 19.90
Formation energy from raw total energies, eV per atom: -0.19

Geometry as Quantum ESPRESSO input:
```
&SYSTEM
  ibrav = 0, nat = 4, ntyp = 3
/
ATOMIC_SPECIES
Li 6.94 Li.upf
Br 79.90 Br.upf
Ag 107.87 Ag.upf
CELL_PARAMETERS angstrom
-1.630 -4.383 -1.201
2.533 -3.931 1.202
-1.650 -2.983 3.420
ATOMIC_POSITIONS angstrom
Li -0.560 -8.473 2.566
Li 0.000 0.000 0.000
Br -0.187 -2.824 0.855
Ag -0.373 -5.649 1.710
```

# 11
First-principles (meta-GGA SCAN) data for a crystal of LiAg2Br relaxed with PBEsol, as listed in the Alexandria database. Values from VASP.

Output
Offset from the most stable computed form, meV/atom: 46
Volume, Å³/atom: 20.49
Formation energy from raw total energies, eV per atom: -0.43

Geometry as Quantum ESPRESSO input:
```
&SYSTEM
  ibrav = 0, nat = 4, ntyp = 3
/
ATOMIC_SPECIES
Ag 107.87 Ag.upf
Li 6.94 Li.upf
Br 79.90 Br.upf
CELL_PARAMETERS angstrom
3.461 0.000 0.000
0.000 3.713 0.000
-1.730 -1.857 6.379
ATOMIC_POSITIONS angstrom
Ag 1.730 1.857 3.654
Ag 0.000 0.000 2.725
Li 0.000 1.857 0.000
Br 1.730 0.000 0.000
```

# 12
First-principles (meta-GGA SCAN) data for a crystal of Li3AgBr relaxed with PBEsol, as listed in the Alexandria database. Values from VASP.

Output
Volume, Å³/atom: 21.66
Formation energy from raw total energies, eV per atom: -0.40

Geometry as Quantum ESPRESSO input:
```
&SYSTEM
  ibrav = 0, nat = 5, ntyp = 3
/
ATOMIC_SPECIES
Ag 107.87 Ag.upf
Li 6.94 Li.upf
Br 79.90 Br.upf
CELL_PARAMETERS angstrom
-1.281 -2.862 3.590
0.302 -3.772 -2.899
4.581 -0.552 1.195
ATOMIC_POSITIONS angstrom
Ag 1.801 -3.593 0.943
Li 2.291 -0.276 0.597
Li -0.640 -1.431 1.795
Li 0.151 -1.886 -1.449
Br 0.000 0.000 0.000
```